1.
The following is a DFT calculation (PBE) of a relaxed Ca2Al3AgGe4 crystal.

As for the energy of formation from the pure elements: -265.9 meV/atom.

It has space group P-4m2 (No. 115), with a = 4.5314 Å, b = 4.5314 Å, c = 10.3224 Å, α = 90.00°, β = 90.00° and γ = 90.00°. The asymmetric unit holds Ca at (0.0000, 0.5000, 0.2491), Al at (0.0000, 0.0000, 0.0000), Al at (0.0000, 0.5000, 0.6236), Ag at (0.5000, 0.5000, 0.0000), Ge at (0.0000, 0.0000, 0.5000), Ge at (0.0000, 0.5000, 0.8623) and Ge at (0.5000, 0.5000, 0.5000).

***

2.
The following is a DFT calculation (PBE) of a relaxed PmPr4Nd7 crystal.

As for the energy of formation from the pure elements: 13.9 meV/atom.

It has space group P-1 (No. 2), with a = 6.4409 Å, b = 7.4152 Å, c = 9.2235 Å, α = 89.95°, β = 76.51° and γ = 89.92°. The asymmetric unit holds Pm at (0.0000, 0.0000, 0.0000), Pr at (0.2210, 0.5002, 0.3314), Pr at (0.2802, 0.2488, 0.6689), Nd at (0.0000, 0.5000, 0.0000), Nd at (0.2196, 0.0002, 0.3311), Nd at (0.2792, 0.7508, 0.6695) and Nd at (0.5002, 0.2490, 0.0004).

***

3.
The following is a DFT calculation (PBE) of a relaxed TaAgTeN2 crystal.

The calculation puts the formation energy without anion corrections at 1.27 eV/f.u.

It has space group P4/mmm (No. 123), with a = 4.0199 Å, b = 4.0199 Å, c = 5.9797 Å, α = 90.00°, β = 90.00° and γ = 90.00°. The asymmetric unit holds Ta at (0.0000, 0.0000, 0.0000), Ag at (0.5000, 0.5000, 0.5000), Te at (0.0000, 0.0000, 0.5000) and N at (0.0000, 0.5000, 0.0000).

***

4.
The following is a DFT calculation (PBE) of a relaxed Ho4CdCu crystal.

As for the energy of formation from the pure elements: 2.2 meV/atom.

It has space group P2_1/c (No. 14), with a = 6.2814 Å, b = 8.8557 Å, c = 5.9828 Å, α = 90.00°, β = 106.79° and γ = 90.00°. The asymmetric unit holds Ho at (0.1099, 0.1678, 0.1212), Ho at (0.3688, 0.6561, 0.9214), Cd at (0.5000, 0.0000, 0.0000) and Cu at (0.0000, 0.0000, 0.5000).